The following is a DFT calculation (PBE) of BeHW2 after structural relaxation.

a b c (Å): 3.9838 3.9838 3.9838
angles (deg): 60.00 60.00 60.00
Element x y z (fractional)
Be1 0.5000 0.5000 0.5000
W1 0.2500 0.2500 0.2500
H1 0.0000 0.0000 0.0000
W2 0.7500 0.7500 0.7500

Computed properties:
offset from the most stable computed form: 313 meV/atom
density of states at the Fermi level: 0.5362 states/eV/atom
uncorrected energy: -7.540 eV per atom
M_tot: 0.00 μB/f.u.
space group: No. 225
ρ: 14.0 g/cm3

The following is a DFT calculation (PBE) of Ba2Mn2Rh after structural relaxation.

a b c (Å): 8.4994 8.4994 4.3339
angles (deg): 90.00 90.00 90.00
Element x y z (fractional)
Mn1 0.8939 0.3939 0.5000
Ba1 0.6888 0.1888 0.0000
Mn2 0.1061 0.6061 0.5000
Ba2 0.1888 0.3112 0.0000
Rh1 0.5000 0.5000 0.0000
Ba3 0.8112 0.6888 0.0000
Rh2 0.0000 0.0000 0.0000
Ba4 0.3112 0.8112 0.0000
Mn3 0.6061 0.8939 0.5000
Mn4 0.3939 0.1061 0.5000

Computed properties:
offset from the most stable computed form: 305 meV/atom
density of states at the Fermi level: 1.1915 states/eV/atom
uncorrected energy: -4.965 eV per atom
M_tot: 8.19 μB/f.u.
space group: No. 127
ρ: 5.2 g/cm3
E_form: 0.942 eV/atom